1.
## Nb4GeC2N (PBE-GGA)

Data for Nb4GeC2N after structural relaxation.

Output
- Raw total energy: -9.575 eV per atom
- SG: P-6m2, No. 187

Cell and atoms, written as CIF:
```
data_Nb4GeC2N
_cell_length_a 3.1803
_cell_length_b 3.1803
_cell_length_c 11.8834
_cell_angle_alpha 90.00
_cell_angle_beta 90.00
_cell_angle_gamma 120.00
_space_group_name_H-M_alt 'P 1'
_space_group_IT_number 1
_space_group_name_Hall 'P 1'
loop_
_atom_site_label
_atom_site_fract_x
_atom_site_fract_y
_atom_site_fract_z
N1 0.0000 0.0000 0.5000
Ge1 0.6667 0.3333 0.0000
C1 0.3333 0.6667 0.2751
C2 0.3333 0.6667 0.7249
Nb1 0.6667 0.3333 0.3781
Nb2 0.0000 0.0000 0.8221
Nb3 0.6667 0.3333 0.6219
Nb4 0.0000 0.0000 0.1779
```

2.
## AgSnI6 (PBE-GGA)

Data for AgSnI6 after structural relaxation.

Output
- Raw total energy: -1.949 eV per atom
- SG: F-43m, No. 216

Cell and atoms, written as CIF:
```
data_AgSnI6
_cell_length_a 8.0306
_cell_length_b 8.0306
_cell_length_c 8.0306
_cell_angle_alpha 60.00
_cell_angle_beta 60.00
_cell_angle_gamma 60.00
_space_group_name_H-M_alt 'P 1'
_space_group_IT_number 1
_space_group_name_Hall 'P 1'
loop_
_atom_site_label
_atom_site_fract_x
_atom_site_fract_y
_atom_site_fract_z
I1 0.5021 0.9979 0.9979
I2 0.9979 0.5021 0.9979
I3 0.5021 0.5021 0.9979
I4 0.9979 0.5021 0.5021
I5 0.5021 0.9979 0.5021
I6 0.9979 0.9979 0.5021
Ag1 0.0000 0.0000 0.0000
Sn1 0.2500 0.2500 0.2500
```

- Look up the raw total energy of the second one.
  -1.949 eV per atom